DFT (PBE) results for a relaxed MnCrH3 crystal.

Results
The volume is 35.9 Å³/f.u. The calculated total energy comes out at -0.203 hartree per atom. As for the total magnetization: 4.0 μB/f.u. As for the excess energy over the best structure of this formula in the dataset: 213 meV/atom.

The structure in POSCAR format:
```
MnCrH3
1.0
3.298 0.000 0.000
0.000 3.298 0.000
0.000 0.000 3.298
Mn Cr H
1 1 3
direct
0.500 0.500 0.500
0.000 0.000 0.000
0.500 0.000 0.000
0.000 0.500 0.000
0.000 0.000 0.500
```